9
Lattice="6.382 -2.498 0.000 6.382 2.498 0.000 -2.633 0.000 9.796" Properties=species:S:1:pos:R:3 comment="K3Hg4Sb2 PBE relaxed" formation_energy_uncorrected_mev_per_atom=-342.8 dft_energy_ev_per_cell=-15.83 total_magnetization_mub_per_fu=0.0 crystal_system=monoclinic sg="No. 12" pbc="T T T"
K 0.000 0.000 0.000
K 3.277 0.000 3.371
K 6.853 0.000 6.424
Hg -0.387 0.000 3.764
Hg 1.118 0.000 9.247
Hg 9.012 0.000 0.548
Hg 10.517 0.000 6.031
Sb 3.185 0.000 7.134
Sb 6.945 0.000 2.661